Cs2KAlF6 at its PBEsol-relaxed geometry. Source: Alexandria via LeMat-Bulk, functional SCAN.

Calculated values
Crystal system: cubic
Symmetry: Fm-3m
Formation energy (no corrections) in kJ per mole of atoms: -331.4
Volume in Å³ per atom: 17.2

a = 6.2405 Å, b = 6.2405 Å, c = 6.2405 Å
α = 60.00°, β = 60.00°, γ = 60.00°
Sites, in units of the cell vectors:
F  0.7924  0.2076  0.7924
F  0.7924  0.7924  0.2076
F  0.2076  0.7924  0.7924
F  0.2076  0.2076  0.7924
F  0.2076  0.7924  0.2076
F  0.7924  0.2076  0.2076
Al  0.0000  0.0000  0.0000
Cs  0.2500  0.2500  0.2500
Cs  0.7500  0.7500  0.7500
K  0.5000  0.5000  0.5000